A relaxed structure of Rb2PuNi2O6, computed with GGA+U.

Results
Volume: 15.542 A^3/atom
Total DFT energy (no corrections): -6.38 eV/atom
N(E_F): 0.672 states/eV/atom

Cell: 5.4761 5.4761 6.9328 Å, 98.95 98.95 120.07°
Closest atoms and distances in Å follow each position.
Fractional positions:
1 Rb 0.1709 0.8291 0.0000  6 O 2.81-2.94, 2 Rb 3.12
2 Rb 0.8291 0.1709 0.0000  6 O 2.81-2.94, 2 Rb 3.12
3 Pu 0.0000 0.0000 0.5000  6 O 2.09
4 Ni 0.3339 0.6661 0.5000  6 O 2.14-2.16
5 Ni 0.6661 0.3339 0.5000  6 O 2.14-2.16
6 O 0.0614 0.3886 0.6661  1 Pu 2.09, 2 Ni 2.14-2.16
7 O 0.2614 0.2614 0.3358  1 Pu 2.09, 2 Ni 2.14
8 O 0.3886 0.0614 0.6661  1 Pu 2.09, 2 Ni 2.14-2.16
9 O 0.6114 0.9386 0.3339  1 Pu 2.09, 2 Ni 2.14-2.16
10 O 0.7386 0.7386 0.6642  1 Pu 2.09, 2 Ni 2.14
11 O 0.9386 0.6114 0.3339  1 Pu 2.09, 2 Ni 2.14-2.16